Entry 1:
K2Al2P3: relaxed, GGA-PBE.

- E_form: -493.8 meV per atom
- Space group: C2/m, No. 12
- Electronic total energy: -4.195 eV/atom

abc: 8.867 8.867 11.536
angles: 122.29 122.29 26.58
Sites, in units of the cell vectors:
K (0.132, 0.132, 0.489)
K (0.228, 0.228, 0.836)
K (0.772, 0.772, 0.164)
K (0.868, 0.868, 0.511)
Al (0.080, 0.080, 0.139)
Al (0.479, 0.479, 0.214)
Al (0.521, 0.521, 0.786)
Al (0.920, 0.920, 0.861)
P (0.085, 0.085, 0.934)
P (0.364, 0.364, 0.729)
P (0.444, 0.444, 0.387)
P (0.556, 0.556, 0.613)
P (0.636, 0.636, 0.271)
P (0.915, 0.915, 0.066)


Entry 2:
KAlP2: relaxed, GGA-PBE.

- E_form: -61.5 meV per atom
- Space group: R-3m, No. 166
- Electronic total energy: -3.976 eV/atom

abc: 3.441 3.441 24.727
angles: 90.00 90.00 120.00
Sites, in units of the cell vectors:
K (0.000, 0.000, 0.000)
K (0.333, 0.667, 0.667)
K (0.667, 0.333, 0.333)
Al (0.000, 0.000, 0.500)
Al (0.333, 0.667, 0.167)
Al (0.667, 0.333, 0.833)
P (0.000, 0.000, 0.229)
P (0.000, 0.000, 0.771)
P (0.333, 0.667, 0.437)
P (0.333, 0.667, 0.896)
P (0.667, 0.333, 0.104)
P (0.667, 0.333, 0.563)


Entry 3:
KAl2P: relaxed, GGA-PBE.

- E_form: -127.4 meV per atom
- Space group: P4mm, No. 99
- Electronic total energy: -3.626 eV/atom

abc: 3.850 3.850 6.735
angles: 90.00 90.00 90.00
Sites, in units of the cell vectors:
K (0.000, 0.000, 0.000)
Al (0.000, 0.500, 0.534)
Al (0.500, 0.000, 0.534)
P (0.500, 0.500, 0.291)


Entry 4:
K2AlP2: relaxed, GGA-PBE.

- E_form: 197.3 meV per atom
- Excess energy over the best structure of this formula in the dataset: 0.623 eV/atom
- Space group: I4/mmm, No. 139
- Electronic total energy: -3.154 eV/atom

abc: 4.808 4.808 12.677
angles: 90.00 90.00 90.00
Sites, in units of the cell vectors:
K (0.000, 0.500, 0.250)
K (0.000, 0.500, 0.750)
K (0.500, 0.000, 0.250)
K (0.500, 0.000, 0.750)
Al (0.000, 0.000, 0.000)
Al (0.500, 0.500, 0.500)
P (0.000, 0.000, 0.419)
P (0.000, 0.000, 0.581)
P (0.500, 0.500, 0.081)
P (0.500, 0.500, 0.919)


Entry 5:
KAl2P: relaxed, GGA-PBE.

- E_form: 363.7 meV per atom
- Space group: P4/mmm, No. 123
- Electronic total energy: -3.134 eV/atom

abc: 4.289 4.289 4.619
angles: 90.00 90.00 90.00
Sites, in units of the cell vectors:
K (0.000, 0.000, 0.000)
Al (0.000, 0.500, 0.500)
Al (0.500, 0.000, 0.500)
P (0.500, 0.500, 0.000)


Entry 6:
KAlP2: relaxed, GGA-PBE.

- E_form: 407.5 meV per atom
- Space group: P4/mmm, No. 123
- Electronic total energy: -3.507 eV/atom

abc: 4.453 4.453 3.972
angles: 90.00 90.00 90.00
Sites, in units of the cell vectors:
K (0.000, 0.000, 0.000)
Al (0.500, 0.500, 0.000)
P (0.000, 0.500, 0.500)
P (0.500, 0.000, 0.500)


Copy entry 6 word for word.
KAlP2: relaxed, GGA-PBE.

- E_form: 407.5 meV per atom
- Space group: P4/mmm, No. 123
- Electronic total energy: -3.507 eV/atom

abc: 4.453 4.453 3.972
angles: 90.00 90.00 90.00
Sites, in units of the cell vectors:
K (0.000, 0.000, 0.000)
Al (0.500, 0.500, 0.000)
P (0.000, 0.500, 0.500)
P (0.500, 0.000, 0.500)


- electronic total energy of number 1 (K2Al2P3)?
  -4.195 eV/atom